{
  "formula": "LiCaV",
  "functional": "GGA-PBE",
  "state": "relaxed",
  "dos_ef_per_ev_fu": 2.11,
  "crystal_system": "hexagonal",
  "m_tot_mub_per_cell": 3.9,
  "sg": "No. 187",
  "e_form_ev_per_atom": 0.71,
  "cell": [[-4.2845, -3.0208, 0.1803], [3.3134, -0.3868, -4.0481], [1.5618, -2.1268, 1.4816]],
  "species": ["V", "Li", "Ca"],
  "frac_coords": [[0.3333, 0.6667, 0.0000], [0.6667, 0.3333, 0.5000], [0.0000, 0.0000, 0.0000]]
}